Record 1
Y2TlBr | PBE-GGA | relaxed

```
4
Lattice="6.084 0.000 0.000 0.000 3.740 -0.018 0.000 0.024 4.929" Properties=species:S:1:pos:R:3 pbc="T T T"
Y 0.000 3.296 4.297
Y 3.042 1.411 1.842
Tl 3.042 3.293 4.297
Br 0.000 1.410 1.842
```

Computed properties:
formation energy (no corrections) = -0.691 eV/atom
ΔE to the lowest computed polymorph = 0 meV per atom
total DFT energy (no corrections) = -4.933 eV/atom

Record 2
Y3Tl6Br14 | PBE-GGA | relaxed

```
23
Lattice="7.258 0.000 0.000 0.000 10.445 -6.030 0.000 0.000 12.060" Properties=species:S:1:pos:R:3 pbc="T T T"
Y 5.940 0.000 0.000
Y 2.583 3.482 6.030
Y 3.335 6.963 0.000
Tl 1.748 8.207 -3.591
Tl 1.748 9.451 2.873
Tl 1.748 3.231 0.718
Tl 5.788 5.461 3.312
Tl 5.788 4.846 9.104
Tl 5.788 0.138 5.675
Br 7.015 0.787 2.314
Br 7.015 8.048 5.555
Br 7.015 1.610 10.222
Br 3.605 2.539 3.757
Br 3.605 5.921 6.351
Br 3.605 1.984 7.983
Br 3.266 0.000 0.000
Br 7.160 3.482 6.030
Br 4.957 7.886 -2.149
Br 4.957 8.363 1.873
Br 4.957 4.641 0.275
Br 1.740 6.153 2.206
Br 1.740 5.457 -1.805
Br 1.740 9.279 -0.402
```

Computed properties:
formation energy (no corrections) = -1.261 eV/atom
total DFT energy (no corrections) = -3.740 eV/atom

Record 3
YTlBr | PBE-GGA | relaxed

```
3
Lattice="-3.485 -1.292 3.428 1.428 -1.852 4.483 -0.582 2.778 4.184" Properties=species:S:1:pos:R:3 pbc="T T T"
Y -1.319 -0.183 6.048
Tl 0.000 0.000 0.000
Br -1.979 -0.275 9.071
```

Computed properties:
formation energy (no corrections) = -0.196 eV/atom
ΔE to the lowest computed polymorph = 550 meV per atom
total DFT energy (no corrections) = -3.697 eV/atom

Record 4
Y2TlBr | PBE-GGA | relaxed

```
4
Lattice="-1.167 -2.354 2.501 2.538 1.188 2.304 -6.344 6.829 3.467" Properties=species:S:1:pos:R:3 pbc="T T T"
Y -0.048 0.051 0.026
Y -0.956 1.184 3.299
Tl -4.420 4.912 5.192
Br -2.722 2.930 1.487
```

Computed properties:
formation energy (no corrections) = -0.534 eV/atom
ΔE to the lowest computed polymorph = 156 meV per atom
total DFT energy (no corrections) = -4.776 eV/atom

Record 5
YTlBr | PBE-GGA | relaxed

```
6
Lattice="4.629 -3.356 0.367 -1.386 5.547 0.367 -0.247 -0.167 11.841" Properties=species:S:1:pos:R:3 pbc="T T T"
Br 2.632 1.778 4.681
Br 0.365 0.247 7.894
Y 1.683 1.137 10.223
Y 1.314 0.888 2.351
Tl 3.742 -2.043 0.367
Tl -0.499 4.234 0.367
```

Computed properties:
formation energy (no corrections) = -0.725 eV/atom
ΔE to the lowest computed polymorph = 21 meV per atom
total DFT energy (no corrections) = -4.226 eV/atom

Record 6
YTlBr2 | PBE-GGA | relaxed

```
4
Lattice="-8.399 2.002 5.228 -6.394 -0.025 7.810 -5.749 3.745 7.403" Properties=species:S:1:pos:R:3 pbc="T T T"
Y -15.369 4.281 15.294
Tl -10.248 2.854 10.198
Br -0.392 0.109 0.390
Br -4.804 1.338 4.780
```

Computed properties:
formation energy (no corrections) = -0.785 eV/atom
ΔE to the lowest computed polymorph = 312 meV per atom
total DFT energy (no corrections) = -3.829 eV/atom